First-principles (GGA-PBE) data for a relaxed ZnMoAs2Se crystal, as listed in Alexandria via LeMat-Bulk.

Magnetic moment (μB per formula unit): 3.0
Formation energy (no corrections) (eV/atom): 1.048
Energy relative to the lowest polymorph listed for this composition (meV per atom): 639
Volume (Å³/f.u.): 110.5
Electronic total energy (eV/atom): -3.930

Structure (CIF):
```
data_ZnMoAs2Se
_space_group_name_H-M_alt 'P 4/m m m'
_space_group_IT_number 123
_space_group_name_Hall '-P 4 2'
_cell_length_a 4.730
_cell_length_b 4.730
_cell_length_c 4.937
_cell_angle_alpha 90.00
_cell_angle_beta 90.00
_cell_angle_gamma 90.00
loop_
_atom_site_label
_atom_site_type_symbol
_atom_site_fract_x
_atom_site_fract_y
_atom_site_fract_z
Zn1 Zn 0.000 0.000 0.000
Mo1 Mo 0.500 0.500 0.500
As1 As 0.000 0.500 0.000
Se1 Se 0.000 0.000 0.500
```